Entry 1:
ZrIr4Pb | PBE | optimized geometry

* E: -8.13 eV per atom
* total magnetic moment: 0.0 μB per cell
* calculated volume: 17.71 A^3/atom
* calculated density: 16678 kg/m³
* SG: No. 216
* DOS at the Fermi energy: 0.67 states/eV per atom

Cell lengths 5.317, 5.317, 5.317 Å; angles 60.00, 60.00, 60.00 degrees
Positions (direct):
Zr1 0.000 0.000 0.000
Ir1 0.126 0.625 0.625
Ir2 0.625 0.126 0.625
Ir3 0.625 0.625 0.126
Ir4 0.625 0.625 0.625
Pb1 0.250 0.250 0.250


Entry 2:
La3PrSm8 | PBE | optimized geometry

* E: -4.51 eV per atom
* total magnetic moment: 0.0 μB per cell
* calculated volume: 37.38 A^3/atom
* calculated density: 6517 kg/m³
* SG: No. 71
* DOS at the Fermi energy: 1.25 states/eV per atom

Cell lengths 8.892, 8.892, 8.892 Å; angles 136.63, 97.91, 97.79 degrees
Positions (direct):
La1 0.000 0.000 0.000
La2 0.252 0.500 0.752
La3 0.748 0.500 0.248
Pr1 0.500 0.000 0.500
Sm1 0.079 0.829 0.250
Sm2 0.252 0.003 0.751
Sm3 0.252 0.500 0.249
Sm4 0.422 0.171 0.250
Sm5 0.578 0.829 0.750
Sm6 0.748 0.500 0.751
Sm7 0.748 0.997 0.249
Sm8 0.921 0.171 0.750


Entry 3:
Sr3ZrCu2O6 | PBE | optimized geometry

* E: -6.39 eV per atom
* total magnetic moment: 0.0 μB per cell
* calculated volume: 16.26 A^3/atom
* calculated density: 4911 kg/m³
* SG: No. 164
* formation energy (no corrections): -2097 meV per atom
* DOS at the Fermi energy: 0.33 states/eV per atom

Cell lengths 5.918, 5.918, 6.434 Å; angles 90.00, 90.00, 120.00 degrees
Positions (direct):
Sr1 0.000 0.000 0.000
Sr2 0.333 0.667 0.630
Sr3 0.667 0.333 0.370
Zr1 0.000 0.000 0.500
Cu1 0.333 0.667 0.165
Cu2 0.667 0.333 0.835
O1 0.164 0.327 0.304
O2 0.164 0.836 0.304
O3 0.327 0.164 0.696
O4 0.673 0.836 0.304
O5 0.836 0.164 0.696
O6 0.836 0.673 0.696


Entry 4:
K2FeMo | PBE | optimized geometry

* E: -3.87 eV per atom
* total magnetic moment: 1.5 μB per cell
* calculated volume: 21.76 A^3/atom
* calculated density: 4388 kg/m³
* SG: No. 47
* DOS at the Fermi energy: 1.14 states/eV per atom

Cell lengths 2.990, 4.808, 6.054 Å; angles 90.00, 90.00, 90.00 degrees
Positions (direct):
K1 0.000 0.000 0.000
K2 0.500 0.500 0.000
Fe1 0.000 0.500 0.500
Mo1 0.500 0.000 0.500


Entry 5:
Nd5ZnCd4 | PBE | optimized geometry

* E: -3.19 eV per atom
* total magnetic moment: 0.8 μB per cell
* calculated volume: 27.90 A^3/atom
* calculated density: 7357 kg/m³
* SG: No. 123
* DOS at the Fermi energy: 1.24 states/eV per atom

Cell lengths 3.795, 3.795, 19.378 Å; angles 90.00, 90.00, 90.00 degrees
Positions (direct):
Nd1 0.000 0.000 0.000
Nd2 0.000 0.000 0.204
Nd3 0.000 0.000 0.411
Nd4 0.000 0.000 0.589
Nd5 0.000 0.000 0.796
Zn1 0.500 0.500 0.500
Cd1 0.500 0.500 0.102
Cd2 0.500 0.500 0.307
Cd3 0.500 0.500 0.693
Cd4 0.500 0.500 0.898